No. 1
Material: BeTc2Ge
Method: DFT, PBE
State: optimized geometry

a = 5.9722 Å, b = 5.9722 Å, c = 5.9722 Å
α = 90.00°, β = 90.00°, γ = 90.00°
Last column: nearest neighbours and their distance in Å.
Space group F-43m (No. 216)
One atom of each set of equivalent atoms:
Be (0.0000, 0.0000, 0.0000) x4  4 Ge 2.59, 4 Tc 2.59
Tc (0.0000, 0.0000, 0.5000) x4  4 Ge 2.59, 4 Tc 2.59
Tc (0.2500, 0.2500, 0.2500) x4  4 Tc 2.59, 4 Be 2.59
Ge (0.2500, 0.2500, 0.7500) x4  4 Tc 2.59, 4 Be 2.59

Results
electronic total energy = -114.3 eV per cell

No. 2
Material: KAgSnTe2S
Method: DFT, PBE
State: optimized geometry

a = 4.4344 Å, b = 13.1993 Å, c = 11.7474 Å
α = 90.00°, β = 90.00°, γ = 90.00°
Last column: nearest neighbours and their distance in Å.
Space group Cmcm (No. 63)
One atom of each set of equivalent atoms:
K (0.0000, 0.2153, 0.2500) x4  2 S 3.28, 2 Te 3.40, 1 Ag 3.66
Ag (0.0000, 0.0619, 0.7500) x4  2 S 2.54
Sn (0.0000, 0.5000, 0.0000) x4  2 S 2.97, 4 Te 3.07
Te (0.0000, 0.1580, 0.5321) x8  1 Ag 2.86, 2 Sn 3.07
S (0.0000, 0.4678, 0.7500) x4  2 Ag 2.54

Results
electronic total energy = -83.0 eV per cell

No. 3
Material: Zr4Sc2S3N3
Method: DFT, PBE
State: optimized geometry

a = 10.0785 Å, b = 5.8279 Å, c = 12.4909 Å
α = 90.00°, β = 105.56°, γ = 90.00°
Last column: nearest neighbours and their distance in Å.
Space group C2/c (No. 15)
One atom of each set of equivalent atoms:
Zr (0.1160, 0.0835, 0.0990) x8  3 N 2.28-2.32
Zr (0.2172, 0.0839, 0.4011) x8  3 N 2.27-2.32
Sc (0.0493, 0.4171, 0.8998) x8  3 N 2.24-2.29
S (0.0000, 0.0862, 0.7500) x4  2 Sc 2.64, 4 Zr 2.66-2.67
S (0.1650, 0.4185, 0.2499) x8  2 Sc 2.63-2.64, 4 Zr 2.66-2.67
N (0.0807, 0.2583, 0.5001) x8  2 Sc 2.24, 4 Zr 2.27-2.32
N (0.2500, 0.2500, 0.0000) x4  4 Zr 2.28, 2 Sc 2.29

Results
electronic total energy = -419.6 eV per cell

No. 4
Material: Pm2Nd3Sb3
Method: DFT, PBE
State: optimized geometry

a = 9.2976 Å, b = 9.2976 Å, c = 6.4969 Å
α = 90.00°, β = 90.00°, γ = 120.00°
Last column: nearest neighbours and their distance in Å.
Space group P6_3/mcm (No. 193)
One atom of each set of equivalent atoms:
Pm (0.3333, 0.6667, 0.0000) x4  2 Pm 3.25, 6 Sb 3.31
Nd (0.0000, 0.2495, 0.2500) x6  5 Sb 3.17-3.49
Sb (0.0000, 0.3880, 0.7500) x6  5 Nd 3.17-3.49, 4 Pm 3.31

Results
electronic total energy = -87.9 eV per cell

No. 5
Material: Ga2NiPt
Method: DFT, PBE
State: optimized geometry

a = 6.1117 Å, b = 6.1117 Å, c = 6.1117 Å
α = 90.00°, β = 90.00°, γ = 90.00°
Last column: nearest neighbours and their distance in Å.
Space group F-43m (No. 216)
One atom of each set of equivalent atoms:
Ga (0.0000, 0.0000, 0.0000) x4  4 Pt 2.65, 4 Ga 2.65
Ga (0.2500, 0.2500, 0.2500) x4  4 Ni 2.65, 4 Ga 2.65
Ni (0.0000, 0.0000, 0.5000) x4  4 Pt 2.65, 4 Ga 2.65
Pt (0.2500, 0.2500, 0.7500) x4  4 Ni 2.65, 4 Ga 2.65

Results
electronic total energy = -74.2 eV per cell

No. 6
Material: LuSn2Sb
Method: DFT, PBE
State: optimized geometry

a = 7.5524 Å, b = 7.5524 Å, c = 7.5524 Å
α = 90.00°, β = 90.00°, γ = 90.00°
Last column: nearest neighbours and their distance in Å.
Space group F-43m (No. 216)
One atom of each set of equivalent atoms:
Lu (0.0000, 0.0000, 0.0000) x4  4 Sn 3.27, 4 Sb 3.27
Sn (0.0000, 0.0000, 0.5000) x4  4 Sn 3.27, 4 Sb 3.27
Sn (0.2500, 0.2500, 0.2500) x4  4 Sn 3.27, 4 Lu 3.27
Sb (0.2500, 0.2500, 0.7500) x4  4 Sn 3.27, 4 Lu 3.27

Results
electronic total energy = -69.4 eV per cell